A plane-wave DFT calculation with GGA+U was carried out for Rb4NaV3F12 after structural relaxation.

## Properties
Total moment   8.00 μB/f.u.
DFT total energy   -5.296 eV/atom
Space group   Im-3m (229)
DOS at the Fermi energy   20.7 states/eV/f.u.

Unit cell a=7.4087 b=7.4087 c=7.4087 alpha=109.47 beta=109.47 gamma=109.47
Element x y z (fractional)
Rb1 0.0000 0.0000 0.5000
Rb2 0.0000 0.5000 0.0000
Rb3 0.5000 0.0000 0.0000
Rb4 0.5000 0.5000 0.5000
Na1 0.0000 0.0000 0.0000
V1 0.0000 0.5000 0.5000
V2 0.5000 0.0000 0.5000
V3 0.5000 0.5000 0.0000
F1 0.0000 0.2658 0.2658
F2 0.0000 0.7342 0.7342
F3 0.2500 0.5000 0.7500
F4 0.2500 0.7500 0.5000
F5 0.2658 0.0000 0.2658
F6 0.2658 0.2658 0.0000
F7 0.5000 0.2500 0.7500
F8 0.5000 0.7500 0.2500
F9 0.7342 0.0000 0.7342
F10 0.7342 0.7342 0.0000
F11 0.7500 0.2500 0.5000
F12 0.7500 0.5000 0.2500